[1]
The following is a PBE calculation of crystalline KCaSnMo2 at its relaxed geometry, from the Alexandria database.

The structure in POSCAR format:
```
KCaSnMo2
1.0
5.4021 0.0000 0.0000
0.0000 5.4021 0.0000
0.0000 0.0000 5.7796
K Ca Sn Mo
1 1 1 2
direct
0.0000 0.0000 0.0000 K
0.5000 0.5000 0.5000 Ca
0.5000 0.5000 0.0000 Sn
0.0000 0.5000 0.5000 Mo
0.5000 0.0000 0.5000 Mo
```

Formation enthalpy at 0 K   1908 meV per atom
Energy   -19.22 eV per cell
Total magnetization   7.03 Bohr magnetons per cell

=====

[2]
The following is a PBE calculation of crystalline TlCr2Hg at its relaxed geometry, from the Alexandria database.

The structure in POSCAR format:
```
TlCr2Hg
1.0
3.3264 -3.3591 0.0000
3.3264 3.3591 0.0000
0.0000 0.0000 3.4845
Tl Cr Hg
1 2 1
direct
0.0000 0.0000 0.0000 Tl
0.0000 0.5000 0.5000 Cr
0.5000 0.0000 0.5000 Cr
0.5000 0.5000 0.0000 Hg
```

Formation enthalpy at 0 K   587 meV per atom
Energy   -19.57 eV per cell
Total magnetization   7.60 Bohr magnetons per cell

=====

[3]
The following is a PBE calculation of crystalline CeZrGa4 at its relaxed geometry, from the Alexandria database.

The structure in POSCAR format:
```
CeZrGa4
1.0
-2.0450 2.0450 7.2693
2.0450 -2.0450 7.2693
2.0450 2.0450 -7.2693
Ce Zr Ga
1 1 4
direct
0.0000 0.0000 0.0000 Ce
0.2500 0.7500 0.5000 Zr
0.4148 0.4148 0.0000 Ga
0.5852 0.5852 0.0000 Ga
0.6694 0.1694 0.5000 Ga
0.8306 0.3306 0.5000 Ga
```

Formation enthalpy at 0 K   -492 meV per atom
ΔE to the lowest computed polymorph   0.000 eV per atom
Energy   -29.54 eV per cell
Total magnetization   0.59 Bohr magnetons per cell

=====

[4]
The following is a PBE calculation of crystalline Bi16Pt11I6 at its relaxed geometry, from the Alexandria database.

The structure in POSCAR format:
```
Bi16Pt11I6
1.0
14.2270 0.0000 0.0000
0.0000 14.2270 0.0000
0.0000 0.0000 9.3713
Bi Pt I
32 22 12
direct
0.0000 0.0000 0.2195 Bi
0.0000 0.0000 0.7805 Bi
0.0000 0.5000 0.1431 Bi
0.0000 0.5000 0.5542 Bi
0.0614 0.3023 0.8220 Bi
0.0717 0.2741 0.2009 Bi
0.1717 0.8246 0.8250 Bi
0.1754 0.8283 0.1750 Bi
0.1977 0.5614 0.8220 Bi
0.2259 0.5717 0.2009 Bi
0.2741 0.0717 0.7991 Bi
0.3023 0.0614 0.1780 Bi
0.3246 0.3283 0.8250 Bi
0.3283 0.3246 0.1750 Bi
0.4283 0.7741 0.7991 Bi
0.4386 0.8023 0.1780 Bi
0.5000 0.0000 0.4458 Bi
0.5000 0.0000 0.8569 Bi
0.5000 0.5000 0.2195 Bi
0.5000 0.5000 0.7805 Bi
0.5614 0.1977 0.1780 Bi
0.5717 0.2259 0.7991 Bi
0.6717 0.6754 0.1750 Bi
0.6754 0.6717 0.8250 Bi
0.6977 0.9386 0.1780 Bi
0.7259 0.9283 0.7991 Bi
0.7741 0.4283 0.2009 Bi
0.8023 0.4386 0.8220 Bi
0.8246 0.1717 0.1750 Bi
0.8283 0.1754 0.8250 Bi
0.9283 0.7259 0.2009 Bi
0.9386 0.6977 0.8220 Bi
0.0000 0.5000 0.8521 Pt
0.0020 0.1421 0.0028 Pt
0.0928 0.6765 0.0138 Pt
0.1421 0.0020 0.9972 Pt
0.1765 0.4072 0.0138 Pt
0.2015 0.2015 0.0000 Pt
0.2985 0.7015 0.0000 Pt
0.3235 0.9072 0.9862 Pt
0.3579 0.5020 0.0028 Pt
0.4072 0.1765 0.9862 Pt
0.4980 0.6421 0.9972 Pt
0.5000 0.0000 0.1479 Pt
0.5020 0.3579 0.9972 Pt
0.5928 0.8235 0.9862 Pt
0.6421 0.4980 0.0028 Pt
0.6765 0.0928 0.9862 Pt
0.7015 0.2985 0.0000 Pt
0.7985 0.7985 0.0000 Pt
0.8235 0.5928 0.0138 Pt
0.8579 0.9980 0.9972 Pt
0.9072 0.3235 0.0138 Pt
0.9980 0.8579 0.0028 Pt
0.1043 0.6935 0.5120 I
0.1135 0.1135 0.5000 I
0.1935 0.3957 0.5120 I
0.3065 0.8957 0.4880 I
0.3865 0.6135 0.5000 I
0.3957 0.1935 0.4880 I
0.6043 0.8065 0.4880 I
0.6135 0.3865 0.5000 I
0.6935 0.1043 0.4880 I
0.8065 0.6043 0.5120 I
0.8865 0.8865 0.5000 I
0.8957 0.3065 0.5120 I
```

Energy relative to the elements, uncorrected   -299 meV per atom
Energy   -295.43 eV per cell
Total magnetization   0.00 Bohr magnetons per cell

=====

[5]
The following is a PBE calculation of crystalline TaIr2W at its relaxed geometry, from the Alexandria database.

The structure in POSCAR format:
```
TaIr2W
1.0
0.0000 3.1832 3.1832
3.1832 0.0000 3.1832
3.1832 3.1832 0.0000
Ta Ir W
1 2 1
direct
0.0000 0.0000 0.0000 Ta
0.2500 0.2500 0.2500 Ir
0.7500 0.7500 0.7500 Ir
0.5000 0.5000 0.5000 W
```

Formation enthalpy at 0 K   72 meV per atom
ΔE to the lowest computed polymorph   0.530 eV per atom
Energy   -42.24 eV per cell
Total magnetization   0.00 Bohr magnetons per cell

=====

[6]
The following is a PBE calculation of crystalline Pm2NdPaSb4 at its relaxed geometry, from the Alexandria database.

The structure in POSCAR format:
```
Pm2NdPaSb4
1.0
7.7330 0.0000 0.0000
0.0000 4.4610 0.0000
-2.5615 0.0000 7.3031
Pm Nd Pa Sb
2 1 1 4
direct
0.0000 0.0000 0.0000 Pm
0.0000 0.5000 0.5000 Pm
0.5000 0.0000 0.5000 Nd
0.5000 0.5000 0.0000 Pa
0.2527 0.5000 0.2446 Sb
0.2551 0.0000 0.7564 Sb
0.7449 0.0000 0.2436 Sb
0.7473 0.5000 0.7554 Sb
```

Energy relative to the elements, uncorrected   -1003 meV per atom
Energy   -48.28 eV per cell
Total magnetization   0.86 Bohr magnetons per cell

=====

[7]
The following is a PBE calculation of crystalline Nd3Zn3Pt2 at its relaxed geometry, from the Alexandria database.

The structure in POSCAR format:
```
Nd3Zn3Pt2
1.0
2.2209 -5.2091 0.0000
2.2209 5.2091 0.0000
0.0000 0.0000 15.4166
Nd Zn Pt
6 6 4
direct
0.0883 0.9117 0.6029 Nd
0.0883 0.9117 0.8971 Nd
0.3638 0.6362 0.7500 Nd
0.6362 0.3638 0.2500 Nd
0.9117 0.0883 0.1029 Nd
0.9117 0.0883 0.3971 Nd
0.3443 0.6557 0.2500 Zn
0.3800 0.6200 0.5371 Zn
0.3800 0.6200 0.9629 Zn
0.6200 0.3800 0.0371 Zn
0.6200 0.3800 0.4629 Zn
0.6557 0.3443 0.7500 Zn
0.2020 0.7980 0.1078 Pt
0.2020 0.7980 0.3922 Pt
0.7980 0.2020 0.6078 Pt
0.7980 0.2020 0.8922 Pt
```

Formation enthalpy at 0 K   -732 meV per atom
Energy   -72.13 eV per cell
Total magnetization   0.00 Bohr magnetons per cell

=====

[8]
The following is a PBE calculation of crystalline ZrNpAs2 at its relaxed geometry, from the Alexandria database.

The structure in POSCAR format:
```
ZrNpAs2
1.0
1.9453 1.1231 6.8991
-1.9453 1.1231 6.8991
0.0000 -2.2462 6.8991
Zr Np As
1 1 2
direct
0.0000 0.0000 0.0000 Zr
0.8264 0.8264 0.8264 Np
0.2504 0.2504 0.2504 As
0.4099 0.4099 0.4099 As
```

Formation enthalpy at 0 K   -813 meV per atom
ΔE to the lowest computed polymorph   0.128 eV per atom
Energy   -34.04 eV per cell
Total magnetization   3.41 Bohr magnetons per cell

=====

[9]
The following is a PBE calculation of crystalline Nd3SmDy3 at its relaxed geometry, from the Alexandria database.

The structure in POSCAR format:
```
Nd3SmDy3
1.0
9.6958 0.0000 0.0000
-4.8479 8.3968 0.0000
0.0000 0.0000 5.8022
Nd Sm Dy
6 2 6
direct
0.0956 0.6212 0.2500 Nd
0.3788 0.4744 0.2500 Nd
0.4744 0.0956 0.7500 Nd
0.5256 0.9044 0.2500 Nd
0.6212 0.5256 0.7500 Nd
0.9044 0.3788 0.7500 Nd
0.3333 0.6667 0.7500 Sm
0.6667 0.3333 0.2500 Sm
0.0462 0.8123 0.7500 Dy
0.1877 0.2339 0.7500 Dy
0.2339 0.0462 0.2500 Dy
0.7661 0.9538 0.7500 Dy
0.8123 0.7661 0.2500 Dy
0.9538 0.1877 0.2500 Dy
```

Formation enthalpy at 0 K   24 meV per atom
ΔE to the lowest computed polymorph   0.000 eV per atom
Energy   -65.32 eV per cell
Total magnetization   0.00 Bohr magnetons per cell

=====

[10]
The following is a PBE calculation of crystalline Al2VPd2 at its relaxed geometry, from the Alexandria database.

The structure in POSCAR format:
```
Al2VPd2
1.0
7.3965 0.0000 0.0000
0.0000 7.3965 0.0000
0.0000 0.0000 2.7972
Al V Pd
4 2 4
direct
0.1613 0.3387 0.0000 Al
0.3387 0.8387 0.0000 Al
0.6613 0.1613 0.0000 Al
0.8387 0.6613 0.0000 Al
0.0000 0.0000 0.5000 V
0.5000 0.5000 0.5000 V
0.1371 0.6371 0.5000 Pd
0.3629 0.1371 0.5000 Pd
0.6371 0.8629 0.5000 Pd
0.8629 0.3629 0.5000 Pd
```

Formation enthalpy at 0 K   -454 meV per atom
ΔE to the lowest computed polymorph   0.021 eV per atom
Energy   -58.52 eV per cell
Total magnetization   4.53 Bohr magnetons per cell

=====

[11]
The following is a PBE calculation of crystalline SmTmC at its relaxed geometry, from the Alexandria database.

The structure in POSCAR format:
```
SmTmC
1.0
6.3103 -1.7999 0.0000
6.3103 1.7999 0.0000
-1.0159 0.0000 6.1584
Sm Tm C
2 2 2
direct
0.1139 0.1139 0.3704 Sm
0.8861 0.8861 0.6296 Sm
0.3959 0.3959 0.1324 Tm
0.6041 0.6041 0.8676 Tm
0.0000 0.0000 0.0000 C
0.5000 0.5000 0.5000 C
```

Formation enthalpy at 0 K   -233 meV per atom
ΔE to the lowest computed polymorph   0.000 eV per atom
Energy   -38.22 eV per cell
Total magnetization   0.65 Bohr magnetons per cell

=====

[12]
The following is a PBE calculation of crystalline Tb2C2O at its relaxed geometry, from the Alexandria database.

The structure in POSCAR format:
```
Tb2C2O
1.0
6.4285 -2.0790 0.0000
6.4285 2.0790 0.0000
-2.1267 0.0000 6.0164
Tb C O
4 4 2
direct
0.0241 0.7130 0.9082 Tb
0.2870 0.9759 0.5918 Tb
0.7130 0.0241 0.4082 Tb
0.9759 0.2870 0.0918 Tb
0.1525 0.4020 0.4779 C
0.4020 0.1525 0.9779 C
0.5980 0.8475 0.0221 C
0.8475 0.5980 0.5221 C
0.0241 0.9759 0.2500 O
0.9759 0.0241 0.7500 O
```

Energy relative to the elements, uncorrected   -1284 meV per atom
Energy   -78.18 eV per cell
Total magnetization   0.00 Bohr magnetons per cell

=====

[13]
The following is a PBE calculation of crystalline Y5Sb4N at its relaxed geometry, from the Alexandria database.

The structure in POSCAR format:
```
Y5Sb4N
1.0
-4.6848 4.6848 3.0920
4.6848 -4.6848 3.0920
4.6848 4.6848 -3.0920
Y Sb N
5 4 1
direct
0.0000 0.0000 0.0000 Y
0.3202 0.6740 0.8363 Y
0.4838 0.3202 0.6462 Y
0.6740 0.8377 0.3538 Y
0.8377 0.4838 0.1637 Y
0.1678 0.3889 0.3933 Sb
0.3889 0.9956 0.2211 Sb
0.7745 0.1678 0.7789 Sb
0.9956 0.7745 0.6067 Sb
0.6357 0.6357 0.0000 N
```

Energy relative to the elements, uncorrected   -1090 meV per atom
Energy   -68.03 eV per cell
Total magnetization   0.00 Bohr magnetons per cell

=====

[14]
The following is a PBE calculation of crystalline InBiS2Br at its relaxed geometry, from the Alexandria database.

The structure in POSCAR format:
```
InBiS2Br
1.0
8.1955 0.0000 0.0000
0.0000 4.1557 0.0000
-3.4165 0.0000 10.1357
In Bi S Br
2 2 4 2
direct
0.2070 0.2500 0.0700 In
0.7930 0.7500 0.9300 In
0.2712 0.7500 0.4526 Bi
0.7288 0.2500 0.5474 Bi
0.0674 0.7500 0.1452 S
0.4214 0.2500 0.3545 S
0.5786 0.7500 0.6455 S
0.9326 0.2500 0.8548 S
0.1863 0.2500 0.6250 Br
0.8137 0.7500 0.3750 Br
```

Energy relative to the elements, uncorrected   -367 meV per atom
Energy   -36.76 eV per cell
Total magnetization   0.00 Bohr magnetons per cell

=====

[15]
The following is a PBE calculation of crystalline Ta2MnPb at its relaxed geometry, from the Alexandria database.

The structure in POSCAR format:
```
Ta2MnPb
1.0
3.0384 0.0000 0.0000
0.0000 4.3782 0.0000
-1.2619 0.0000 5.6336
Ta Mn Pb
2 1 1
direct
0.0000 0.0000 0.0000 Ta
0.3264 0.5000 0.7619 Ta
0.7097 0.5000 0.1645 Mn
0.6859 0.0000 0.4694 Pb
```

Formation enthalpy at 0 K   405 meV per atom
Energy   -34.96 eV per cell
Total magnetization   1.03 Bohr magnetons per cell

=====

[16]
The following is a PBE calculation of crystalline LiAcP2Pt4 at its relaxed geometry, from the Alexandria database.

The structure in POSCAR format:
```
LiAcP2Pt4
1.0
4.1303 0.0000 0.0000
0.0000 4.1303 0.0000
0.0000 0.0000 9.2018
Li Ac P Pt
1 1 2 4
direct
0.0000 0.0000 0.0000 Li
0.0000 0.0000 0.5000 Ac
0.5000 0.5000 0.1167 P
0.5000 0.5000 0.8833 P
0.0000 0.5000 0.2365 Pt
0.0000 0.5000 0.7635 Pt
0.5000 0.0000 0.2365 Pt
0.5000 0.0000 0.7635 Pt
```

Formation enthalpy at 0 K   -693 meV per atom
Energy   -46.55 eV per cell
Total magnetization   0.00 Bohr magnetons per cell

=====

[17]
The following is a PBE calculation of crystalline Na2AuCl4 at its relaxed geometry, from the Alexandria database.

The structure in POSCAR format:
```
Na2AuCl4
1.0
-3.5562 3.5562 7.7887
3.5562 -3.5562 7.7887
3.5562 3.5562 -7.7887
Na Au Cl
4 2 8
direct
0.0000 0.0000 0.0000 Na
0.5000 0.0000 0.0000 Na
0.5000 0.0000 0.5000 Na
0.5000 0.5000 0.5000 Na
0.1250 0.3750 0.7500 Au
0.8750 0.6250 0.2500 Au
0.0842 0.9265 0.7296 Cl
0.1455 0.4158 0.3423 Cl
0.3032 0.6455 0.2296 Cl
0.4265 0.1968 0.8423 Cl
0.5735 0.8032 0.1577 Cl
0.6968 0.3545 0.7704 Cl
0.8545 0.5842 0.6577 Cl
0.9158 0.0735 0.2704 Cl
```

ΔE to the lowest computed polymorph   0.097 eV per atom
Energy relative to the elements, uncorrected   -984 meV per atom
Energy   -40.37 eV per cell
Total magnetization   1.89 Bohr magnetons per cell

=====

[18]
The following is a PBE calculation of crystalline CsIn2PbBr8 at its relaxed geometry, from the Alexandria database.

The structure in POSCAR format:
```
CsIn2PbBr8
1.0
3.6734 2.1208 10.4695
-3.6734 2.1208 10.4695
0.0000 -4.2417 10.4695
Cs In Pb Br
1 2 1 8
direct
0.0000 0.0000 0.0000 Cs
0.2497 0.2497 0.2497 In
0.7503 0.7503 0.7503 In
0.5000 0.5000 0.5000 Pb
0.1129 0.7930 0.4216 Br
0.2070 0.5784 0.8871 Br
0.3322 0.3322 0.3322 Br
0.4216 0.1129 0.7930 Br
0.5784 0.8871 0.2070 Br
0.6678 0.6678 0.6678 Br
0.7930 0.4216 0.1129 Br
0.8871 0.2070 0.5784 Br
```

Energy relative to the elements, uncorrected   -925 meV per atom
Energy   -34.52 eV per cell
Total magnetization   0.00 Bohr magnetons per cell

=====

[19]
The following is a PBE calculation of crystalline Nd8HoBi6 at its relaxed geometry, from the Alexandria database.

The structure in POSCAR format:
```
Nd8HoBi6
1.0
4.1657 2.4051 8.7992
-4.1657 2.4051 8.7992
0.0000 -4.8101 8.7992
Nd Ho Bi
8 1 6
direct
0.0370 0.3805 0.7168 Nd
0.1669 0.1669 0.1669 Nd
0.2832 0.9630 0.6195 Nd
0.3805 0.7168 0.0370 Nd
0.6195 0.2832 0.9630 Nd
0.7168 0.0370 0.3805 Nd
0.8331 0.8331 0.8331 Nd
0.9630 0.6195 0.2832 Nd
0.5000 0.5000 0.5000 Ho
0.1097 0.7610 0.4329 Bi
0.2390 0.5671 0.8903 Bi
0.4329 0.1097 0.7610 Bi
0.5671 0.8903 0.2390 Bi
0.7610 0.4329 0.1097 Bi
0.8903 0.2390 0.5671 Bi
```

Formation enthalpy at 0 K   -585 meV per atom
Energy   -74.78 eV per cell
Total magnetization   0.00 Bohr magnetons per cell

=====

[20]
The following is a PBE calculation of crystalline TmAl2Au8 at its relaxed geometry, from the Alexandria database.

The structure in POSCAR format:
```
TmAl2Au8
1.0
4.2776 -5.6079 0.0000
4.2776 5.6079 0.0000
-0.9949 0.0000 4.3600
Tm Al Au
1 2 8
direct
0.0000 0.0000 0.0000 Tm
0.3655 0.6345 0.5000 Al
0.6345 0.3655 0.5000 Al
0.0416 0.3146 0.5580 Au
0.2579 0.7421 0.0000 Au
0.3146 0.0416 0.5580 Au
0.3430 0.3430 0.0702 Au
0.6570 0.6570 0.9298 Au
0.6854 0.9584 0.4420 Au
0.7421 0.2579 0.0000 Au
0.9584 0.6854 0.4420 Au
```

Formation enthalpy at 0 K   -380 meV per atom
ΔE to the lowest computed polymorph   0.022 eV per atom
Energy   -42.36 eV per cell
Total magnetization   0.00 Bohr magnetons per cell